DFT (PBE-GGA) results for a geometry-optimized Li2BeRu structure.

abc: 2.6195 2.6195 8.4333
angles: 90.00 90.00 109.61
With the nearest neighbours (Å) after each atom.
Element x y z (fractional)
Li (0.5000, 0.5000, 0.2754)  2 Ru 2.61, 4 Li 2.62
Li (0.0000, 0.0000, 0.9685)  2 Be 2.53, 4 Li 2.62
Be (0.5000, 0.5000, 0.7284)  2 Ru 2.27, 2 Li 2.53
Ru (0.0000, 0.0000, 0.5277)  2 Be 2.27

SG: Cmm2
Final energy (Ha/atom): -0.150
M_tot (μB per formula unit): 0.0